Entry 1:
# Li3Pm2PuS6 | Alexandria | PBE | relaxed
# Size of the total moment, Bohr magnetons per cell: 5.0
# Symmetry: C2/m
# ΔE_f (raw), meV per atom: -1695
data_Li3Pm2PuS6
_chemical_formula_sum 'Li3 Pm2 Pu1 S6'
_cell_length_a 6.953
_cell_length_b 6.953
_cell_length_c 6.592
_cell_angle_alpha 100.09
_cell_angle_beta 100.09
_cell_angle_gamma 120.01
_symmetry_space_group_name_H-M 'P 1'
_symmetry_Int_Tables_number 1
loop_
_symmetry_equiv_pos_as_xyz
'x,y,z'
loop_
_atom_site_label
_atom_site_type_symbol
_atom_site_fract_x
_atom_site_fract_y
_atom_site_fract_z
Li1 Li 0.000 0.000 0.000
Li2 Li 0.338 0.662 0.000
Li3 Li 0.662 0.338 0.000
Pm1 Pm 0.167 0.833 0.500
Pm2 Pm 0.833 0.167 0.500
Pu1 Pu 0.500 0.500 0.500
S1 S 0.086 0.415 0.245
S2 S 0.255 0.255 0.754
S3 S 0.415 0.086 0.245
S4 S 0.585 0.914 0.755
S5 S 0.745 0.745 0.246
S6 S 0.914 0.585 0.755

Entry 2:
# LiPm2PuS5 | Alexandria | PBE | relaxed
# Size of the total moment, Bohr magnetons per cell: 10.0
# Symmetry: Cmc2_1
# ΔE_f (raw), meV per atom: -1773
data_LiPm2PuS5
_chemical_formula_sum 'Li2 Pm4 Pu2 S10'
_cell_length_a 8.472
_cell_length_b 8.472
_cell_length_c 11.842
_cell_angle_alpha 90.00
_cell_angle_beta 90.00
_cell_angle_gamma 152.80
_symmetry_space_group_name_H-M 'P 1'
_symmetry_Int_Tables_number 1
loop_
_symmetry_equiv_pos_as_xyz
'x,y,z'
loop_
_atom_site_label
_atom_site_type_symbol
_atom_site_fract_x
_atom_site_fract_y
_atom_site_fract_z
Li1 Li 0.018 0.982 0.500
Li2 Li 0.982 0.018 0.000
Pm1 Pm 0.376 0.624 0.319
Pm2 Pm 0.391 0.609 0.705
Pm3 Pm 0.609 0.391 0.205
Pm4 Pm 0.624 0.376 0.819
Pu1 Pu 0.301 0.699 0.023
Pu2 Pu 0.699 0.301 0.523
S1 S 0.000 0.000 0.302
S2 S 0.000 0.000 0.802
S3 S 0.134 0.866 0.020
S4 S 0.192 0.808 0.364
S5 S 0.211 0.789 0.682
S6 S 0.453 0.547 0.092
S7 S 0.547 0.453 0.592
S8 S 0.789 0.211 0.182
S9 S 0.808 0.192 0.864
S10 S 0.866 0.134 0.520

Entry 3:
# Li3Pm3PuS8 | Alexandria | PBE | relaxed
# Size of the total moment, Bohr magnetons per cell: 4.0
# Symmetry: R-3m
# ΔE_f (raw), meV per atom: -1698
data_Li3Pm3PuS8
_chemical_formula_sum 'Li3 Pm3 Pu1 S8'
_cell_length_a 7.722
_cell_length_b 7.722
_cell_length_c 7.722
_cell_angle_alpha 63.09
_cell_angle_beta 63.09
_cell_angle_gamma 63.09
_symmetry_space_group_name_H-M 'P 1'
_symmetry_Int_Tables_number 1
loop_
_symmetry_equiv_pos_as_xyz
'x,y,z'
loop_
_atom_site_label
_atom_site_type_symbol
_atom_site_fract_x
_atom_site_fract_y
_atom_site_fract_z
Li1 Li 0.000 0.500 0.500
Li2 Li 0.500 0.000 0.500
Li3 Li 0.500 0.500 0.000
Pm1 Pm 0.000 0.000 0.500
Pm2 Pm 0.000 0.500 0.000
Pm3 Pm 0.500 0.000 0.000
Pu1 Pu 0.500 0.500 0.500
S1 S 0.251 0.251 0.251
S2 S 0.259 0.259 0.736
S3 S 0.259 0.736 0.259
S4 S 0.264 0.741 0.741
S5 S 0.736 0.259 0.259
S6 S 0.741 0.264 0.741
S7 S 0.741 0.741 0.264
S8 S 0.749 0.749 0.749

Entry 4:
# LiPm3Pu3S8 | Alexandria | PBE | relaxed
# Size of the total moment, Bohr magnetons per cell: 5.5
# Symmetry: C2/m
# ΔE_f (raw), meV per atom: -1800
data_LiPm3Pu3S8
_chemical_formula_sum 'Li1 Pm3 Pu3 S8'
_cell_length_a 7.943
_cell_length_b 7.943
_cell_length_c 7.932
_cell_angle_alpha 119.90
_cell_angle_beta 119.90
_cell_angle_gamma 60.07
_symmetry_space_group_name_H-M 'P 1'
_symmetry_Int_Tables_number 1
loop_
_symmetry_equiv_pos_as_xyz
'x,y,z'
loop_
_atom_site_label
_atom_site_type_symbol
_atom_site_fract_x
_atom_site_fract_y
_atom_site_fract_z
Li1 Li 0.000 0.000 0.000
Pm1 Pm 0.000 0.000 0.500
Pm2 Pm 0.000 0.500 0.500
Pm3 Pm 0.500 0.000 0.500
Pu1 Pu 0.000 0.500 0.000
Pu2 Pu 0.500 0.000 0.000
Pu3 Pu 0.500 0.500 0.000
S1 S 0.244 0.754 0.240
S2 S 0.245 0.245 0.239
S3 S 0.246 0.756 0.760
S4 S 0.252 0.252 0.756
S5 S 0.748 0.748 0.244
S6 S 0.754 0.244 0.240
S7 S 0.755 0.755 0.761
S8 S 0.756 0.246 0.760

Entry 5:
# Li3PmPu2S6 | Alexandria | PBE | relaxed
# Size of the total moment, Bohr magnetons per cell: 10.0
# Symmetry: C2/m
# ΔE_f (raw), meV per atom: -1623
data_Li3PmPu2S6
_chemical_formula_sum 'Li3 Pm1 Pu2 S6'
_cell_length_a 6.903
_cell_length_b 6.903
_cell_length_c 6.557
_cell_angle_alpha 100.10
_cell_angle_beta 100.10
_cell_angle_gamma 120.00
_symmetry_space_group_name_H-M 'P 1'
_symmetry_Int_Tables_number 1
loop_
_symmetry_equiv_pos_as_xyz
'x,y,z'
loop_
_atom_site_label
_atom_site_type_symbol
_atom_site_fract_x
_atom_site_fract_y
_atom_site_fract_z
Li1 Li 0.000 0.000 0.000
Li2 Li 0.330 0.670 0.000
Li3 Li 0.670 0.330 0.000
Pm1 Pm 0.500 0.500 0.500
Pu1 Pu 0.166 0.834 0.500
Pu2 Pu 0.834 0.166 0.500
S1 S 0.076 0.416 0.248
S2 S 0.245 0.245 0.754
S3 S 0.416 0.076 0.248
S4 S 0.584 0.924 0.752
S5 S 0.755 0.755 0.246
S6 S 0.924 0.584 0.752

Entry 6:
# LiPmPu2S4 | Alexandria | PBE | relaxed
# Size of the total moment, Bohr magnetons per cell: 11.3
# Symmetry: P2/m
# ΔE_f (raw), meV per atom: -1750
data_LiPmPu2S4
_chemical_formula_sum 'Li1 Pm1 Pu2 S4'
_cell_length_a 6.858
_cell_length_b 3.984
_cell_length_c 6.861
_cell_angle_alpha 90.00
_cell_angle_beta 109.74
_cell_angle_gamma 90.00
_symmetry_space_group_name_H-M 'P 1'
_symmetry_Int_Tables_number 1
loop_
_symmetry_equiv_pos_as_xyz
'x,y,z'
loop_
_atom_site_label
_atom_site_type_symbol
_atom_site_fract_x
_atom_site_fract_y
_atom_site_fract_z
Li1 Li 0.000 0.000 0.000
Pm1 Pm 0.000 0.500 0.500
Pu1 Pu 0.500 0.000 0.500
Pu2 Pu 0.500 0.500 0.000
S1 S 0.250 0.500 0.246
S2 S 0.253 0.000 0.756
S3 S 0.747 0.000 0.244
S4 S 0.750 0.500 0.754

Entry 7:
# Li3Pm2PuSe6 | Alexandria | PBE | relaxed
# Size of the total moment, Bohr magnetons per cell: 5.0
# Symmetry: C2/m
# ΔE_f (raw), meV per atom: -1566
data_Li3Pm2PuSe6
_chemical_formula_sum 'Li3 Pm2 Pu1 Se6'
_cell_length_a 7.221
_cell_length_b 7.221
_cell_length_c 6.923
_cell_angle_alpha 100.02
_cell_angle_beta 100.02
_cell_angle_gamma 119.97
_symmetry_space_group_name_H-M 'P 1'
_symmetry_Int_Tables_number 1
loop_
_symmetry_equiv_pos_as_xyz
'x,y,z'
loop_
_atom_site_label
_atom_site_type_symbol
_atom_site_fract_x
_atom_site_fract_y
_atom_site_fract_z
Li1 Li 0.000 0.000 0.000
Li2 Li 0.334 0.666 0.000
Li3 Li 0.666 0.334 0.000
Pm1 Pm 0.167 0.833 0.500
Pm2 Pm 0.833 0.167 0.500
Pu1 Pu 0.500 0.500 0.500
Se1 Se 0.083 0.414 0.242
Se2 Se 0.255 0.255 0.757
Se3 Se 0.414 0.083 0.242
Se4 Se 0.586 0.917 0.758
Se5 Se 0.745 0.745 0.243
Se6 Se 0.917 0.586 0.758

Entry 8:
# LiPmPuSe3 | Alexandria | PBE | relaxed
# Size of the total moment, Bohr magnetons per cell: 11.5
# Symmetry: P2_1/m
# ΔE_f (raw), meV per atom: -1547
data_LiPmPuSe3
_chemical_formula_sum 'Li2 Pm2 Pu2 Se6'
_cell_length_a 8.500
_cell_length_b 4.041
_cell_length_c 8.920
_cell_angle_alpha 90.00
_cell_angle_beta 102.11
_cell_angle_gamma 90.00
_symmetry_space_group_name_H-M 'P 1'
_symmetry_Int_Tables_number 1
loop_
_symmetry_equiv_pos_as_xyz
'x,y,z'
loop_
_atom_site_label
_atom_site_type_symbol
_atom_site_fract_x
_atom_site_fract_y
_atom_site_fract_z
Li1 Li 0.087 0.250 0.083
Li2 Li 0.913 0.750 0.917
Pm1 Pm 0.181 0.250 0.724
Pm2 Pm 0.819 0.750 0.276
Pu1 Pu 0.334 0.750 0.334
Pu2 Pu 0.666 0.250 0.666
Se1 Se 0.092 0.250 0.368
Se2 Se 0.218 0.750 0.991
Se3 Se 0.421 0.750 0.670
Se4 Se 0.579 0.250 0.330
Se5 Se 0.782 0.250 0.009
Se6 Se 0.908 0.750 0.632

Entry 9:
# LiPm3Pu3Se8 | Alexandria | PBE | relaxed
# Size of the total moment, Bohr magnetons per cell: 16.9
# Symmetry: R-3m
# ΔE_f (raw), meV per atom: -1635
data_LiPm3Pu3Se8
_chemical_formula_sum 'Li1 Pm3 Pu3 Se8'
_cell_length_a 8.293
_cell_length_b 8.293
_cell_length_c 8.293
_cell_angle_alpha 60.02
_cell_angle_beta 60.02
_cell_angle_gamma 60.02
_symmetry_space_group_name_H-M 'P 1'
_symmetry_Int_Tables_number 1
loop_
_symmetry_equiv_pos_as_xyz
'x,y,z'
loop_
_atom_site_label
_atom_site_type_symbol
_atom_site_fract_x
_atom_site_fract_y
_atom_site_fract_z
Li1 Li 0.000 0.000 0.000
Pm1 Pm 0.000 0.000 0.500
Pm2 Pm 0.000 0.500 0.000
Pm3 Pm 0.500 0.000 0.000
Pu1 Pu 0.000 0.500 0.500
Pu2 Pu 0.500 0.000 0.500
Pu3 Pu 0.500 0.500 0.000
Se1 Se 0.245 0.245 0.752
Se2 Se 0.245 0.752 0.245
Se3 Se 0.248 0.755 0.755
Se4 Se 0.252 0.252 0.252
Se5 Se 0.748 0.748 0.748
Se6 Se 0.752 0.245 0.245
Se7 Se 0.755 0.248 0.755
Se8 Se 0.755 0.755 0.248

Entry 10:
# LiPm3Pu2Se6 | Alexandria | PBE | relaxed
# Size of the total moment, Bohr magnetons per cell: 11.7
# Symmetry: C2/m
# ΔE_f (raw), meV per atom: -1683
data_LiPm3Pu2Se6
_chemical_formula_sum 'Li1 Pm3 Pu2 Se6'
_cell_length_a 7.194
_cell_length_b 7.194
_cell_length_c 7.208
_cell_angle_alpha 99.60
_cell_angle_beta 99.60
_cell_angle_gamma 120.03
_symmetry_space_group_name_H-M 'P 1'
_symmetry_Int_Tables_number 1
loop_
_symmetry_equiv_pos_as_xyz
'x,y,z'
loop_
_atom_site_label
_atom_site_type_symbol
_atom_site_fract_x
_atom_site_fract_y
_atom_site_fract_z
Li1 Li 0.000 0.000 0.000
Pm1 Pm 0.168 0.832 0.500
Pm2 Pm 0.500 0.500 0.500
Pm3 Pm 0.832 0.168 0.500
Pu1 Pu 0.334 0.666 0.000
Pu2 Pu 0.666 0.334 0.000
Se1 Se 0.080 0.407 0.242
Se2 Se 0.246 0.246 0.758
Se3 Se 0.407 0.080 0.242
Se4 Se 0.593 0.920 0.758
Se5 Se 0.754 0.754 0.242
Se6 Se 0.920 0.593 0.758